# GGA-PBE Pm2BrCl2, relaxed
# Total DFT energy (no corrections) ... -4.61 eV per atom
# Formation energy without anion corrections ... -8.2 eV per formula unit
# Total magnetization ... 0.000 μB per formula unit
data_Pm2BrCl2
_symmetry_space_group_name_H-M 'C 1 2/m 1'
_symmetry_Int_Tables_number 12
_symmetry_space_group_name_Hall '-C 2y'
_cell_length_a 12.785
_cell_length_b 5.592
_cell_length_c 8.125
_cell_angle_alpha 90.00
_cell_angle_beta 109.52
_cell_angle_gamma 90.00
loop_
_atom_site_label
_atom_site_fract_x
_atom_site_fract_y
_atom_site_fract_z
Pm1 0.001 0.000 0.281
Pm2 0.146 0.500 0.568
Br1 0.165 0.000 0.089
Cl1 0.006 0.500 0.781
Cl2 0.189 0.000 0.605